# LaEr7Th3 GGA-PBE relaxed
# energy relative to the elements: 21.22 kJ per mole of atoms
# theoretical density: 9065 kg/m3
# total magnetization: 0.0 Bohr magnetons per cell
data_LaEr7Th3
_cell_length_a 7.0434
_cell_length_b 7.0434
_cell_length_c 8.5525
_cell_angle_alpha 90.00
_cell_angle_beta 90.00
_cell_angle_gamma 120.00
_symmetry_space_group_name_H-M 'P 3 m 1'
_symmetry_Int_Tables_number 156
loop_
_symmetry_equiv_pos_as_xyz
'x,y,z'
'-y,x-y,z'
'-x+y,-x,z'
'-y,-x,z'
'-x+y,y,z'
'x,x-y,z'
loop_
_atom_site_label
_atom_site_fract_x
_atom_site_fract_y
_atom_site_fract_z
La1 0.0000 0.0000 0.0000
Er1 0.0030 0.5015 0.9965
Er2 0.3331 0.1665 0.6575
Er3 0.3333 0.6667 0.6591
Th1 0.1677 0.3354 0.3297

=====

# Ce2TeI GGA-PBE relaxed
# ΔE to the lowest computed polymorph: 11 meV/atom
# energy relative to the elements, uncorrected: -1043 meV/atom
# theoretical density: 6870 kg/m3
# total magnetization: 9.2 Bohr magnetons per cell
data_Ce2TeI
_cell_length_a 4.2085
_cell_length_b 4.2085
_cell_length_c 25.2804
_cell_angle_alpha 90.00
_cell_angle_beta 90.00
_cell_angle_gamma 120.00
_symmetry_space_group_name_H-M 'R 3 m'
_symmetry_Int_Tables_number 160
_symmetry_space_group_name_Hall 'R 3 -2"'
loop_
_atom_site_label
_atom_site_fract_x
_atom_site_fract_y
_atom_site_fract_z
Ce1 0.0000 0.0000 0.0000
Ce2 0.0000 0.0000 0.1776
Te1 0.0000 0.0000 0.5885
I1 0.0000 0.0000 0.7561

=====

# Sr2Pr4Bi3N2 GGA-PBE relaxed
# energy relative to the elements, uncorrected: -983 meV/atom
# theoretical density: 6907 kg/m3
# total magnetization: 0.0 Bohr magnetons per cell
data_Sr2Pr4Bi3N2
_cell_length_a 4.996
_cell_length_b 4.996
_cell_length_c 26.847
_cell_angle_alpha 90.00
_cell_angle_beta 90.00
_cell_angle_gamma 90.00
_symmetry_space_group_name_H-M 'I 4/m m m'
_symmetry_Int_Tables_number 139
_symmetry_space_group_name_Hall '-I 4 2'
loop_
_atom_site_label
_atom_site_fract_x
_atom_site_fract_y
_atom_site_fract_z
Sr1 0.000 0.000 0.194
Pr1 0.000 0.500 0.085
Bi1 0.000 0.000 0.325
Bi2 0.000 0.000 0.500
N1 0.000 0.000 0.098

=====

# Li3TcPd12 GGA-PBE relaxed
# energy relative to the elements: -15.75 kJ per mole of atoms
# theoretical density: 9777 kg/m3
# total magnetization: 1.6 Bohr magnetons per cell
data_Li3TcPd12
_cell_length_a 3.903
_cell_length_b 3.903
_cell_length_c 15.566
_cell_angle_alpha 90.00
_cell_angle_beta 90.00
_cell_angle_gamma 90.00
_symmetry_space_group_name_H-M 'P 4/m m m'
_symmetry_Int_Tables_number 123
_symmetry_space_group_name_Hall '-P 4 2'
loop_
_atom_site_label
_atom_site_fract_x
_atom_site_fract_y
_atom_site_fract_z
Li1 0.000 0.000 0.000
Li2 0.000 0.000 0.246
Tc1 0.000 0.000 0.500
Pd1 0.000 0.500 0.124
Pd2 0.000 0.500 0.376
Pd3 0.500 0.500 0.000
Pd4 0.500 0.500 0.249
Pd5 0.500 0.500 0.500

=====

# TbErSiGe GGA-PBE relaxed
# energy relative to the elements, uncorrected: -835 meV/atom
# theoretical density: 8032 kg/m3
# total magnetization: 0.0 Bohr magnetons per cell
data_TbErSiGe
_cell_length_a 3.895
_cell_length_b 4.274
_cell_length_c 10.604
_cell_angle_alpha 90.00
_cell_angle_beta 90.00
_cell_angle_gamma 90.00
_symmetry_space_group_name_H-M 'A m m 2'
_symmetry_Int_Tables_number 38
loop_
_symmetry_equiv_pos_as_xyz
'x,y,z'
'-x,-y,z'
'-x,y,z'
'x,-y,z'
'x,y+1/2,z+1/2'
'-x,-y+1/2,z+1/2'
'-x,y+1/2,z+1/2'
'x,-y+1/2,z+1/2'
loop_
_atom_site_label
_atom_site_fract_x
_atom_site_fract_y
_atom_site_fract_z
Tb1 0.000 0.000 0.000
Er1 0.500 0.000 0.278
Si1 0.500 0.000 0.557
Ge1 0.000 0.000 0.720

=====

# BaTc2Pt GGA-PBE relaxed
# ΔE to the lowest computed polymorph: 227 meV/atom
# energy relative to the elements: 40.69 kJ per mole of atoms
# theoretical density: 9856 kg/m3
# total magnetization: 0.0 Bohr magnetons per cell
data_BaTc2Pt
_cell_length_a 3.088
_cell_length_b 3.998
_cell_length_c 7.243
_cell_angle_alpha 90.00
_cell_angle_beta 95.34
_cell_angle_gamma 90.00
_symmetry_space_group_name_H-M 'P 1 m 1'
_symmetry_Int_Tables_number 6
loop_
_symmetry_equiv_pos_as_xyz
'x,y,z'
'x,-y,z'
loop_
_atom_site_label
_atom_site_fract_x
_atom_site_fract_y
_atom_site_fract_z
Ba1 0.000 0.000 0.000
Tc1 0.158 0.500 0.606
Tc2 0.592 0.000 0.540
Pt1 0.581 0.500 0.289

=====

# SbIr2S2 GGA-PBE relaxed
# ΔE to the lowest computed polymorph: 123 meV/atom
# energy relative to the elements, uncorrected: 518 meV/atom
# theoretical density: 10363 kg/m3
# total magnetization: 0.0 Bohr magnetons per cell
data_SbIr2S2
_cell_length_a 7.819
_cell_length_b 7.819
_cell_length_c 2.990
_cell_angle_alpha 90.00
_cell_angle_beta 90.00
_cell_angle_gamma 90.00
_symmetry_space_group_name_H-M 'P 4/m b m'
_symmetry_Int_Tables_number 127
_symmetry_space_group_name_Hall '-P 4 2ab'
loop_
_atom_site_label
_atom_site_fract_x
_atom_site_fract_y
_atom_site_fract_z
Sb1 0.000 0.000 0.000
Ir1 0.213 0.287 0.500
S1 0.134 0.634 0.000

=====

# YBe2Al2 GGA-PBE relaxed
# ΔE to the lowest computed polymorph: 284 meV/atom
# energy relative to the elements: 8.04 kJ per mole of atoms
# theoretical density: 3434 kg/m3
# total magnetization: 0.0 Bohr magnetons per cell
data_YBe2Al2
_cell_length_a 7.503
_cell_length_b 7.503
_cell_length_c 2.764
_cell_angle_alpha 90.00
_cell_angle_beta 90.00
_cell_angle_gamma 90.00
_symmetry_space_group_name_H-M 'P 4/m b m'
_symmetry_Int_Tables_number 127
_symmetry_space_group_name_Hall '-P 4 2ab'
loop_
_atom_site_label
_atom_site_fract_x
_atom_site_fract_y
_atom_site_fract_z
Y1 0.000 0.000 0.000
Be1 0.164 0.336 0.500
Al1 0.128 0.628 0.000

=====

# Rb2USb2Se6 GGA-PBE relaxed
# energy relative to the elements, uncorrected: -837 meV/atom
# theoretical density: 4940 kg/m3
# total magnetization: 4.0 Bohr magnetons per cell
data_Rb2USb2Se6
_cell_length_a 7.317
_cell_length_b 12.663
_cell_length_c 8.556
_cell_angle_alpha 90.00
_cell_angle_beta 107.24
_cell_angle_gamma 90.00
_symmetry_space_group_name_H-M 'C 1 2/m 1'
_symmetry_Int_Tables_number 12
loop_
_symmetry_equiv_pos_as_xyz
'x,y,z'
'-x,-y,-z'
'-x,y,-z'
'x,-y,z'
'x+1/2,y+1/2,z'
'-x+1/2,-y+1/2,-z'
'-x+1/2,y+1/2,-z'
'x+1/2,-y+1/2,z'
loop_
_atom_site_label
_atom_site_fract_x
_atom_site_fract_y
_atom_site_fract_z
Rb1 0.000 0.169 0.000
U1 0.000 0.000 0.500
Sb1 0.000 0.331 0.500
Se1 0.230 0.165 0.691
Se2 0.241 0.500 0.690

=====

# HfCo2Ge2 GGA-PBE relaxed
# energy relative to the elements: -20.72 kJ per mole of atoms
# theoretical density: 10407 kg/m3
# total magnetization: 0.0 Bohr magnetons per cell
data_HfCo2Ge2
_cell_length_a 7.160
_cell_length_b 7.160
_cell_length_c 2.749
_cell_angle_alpha 90.00
_cell_angle_beta 90.00
_cell_angle_gamma 90.00
_symmetry_space_group_name_H-M 'P 4/m b m'
_symmetry_Int_Tables_number 127
_symmetry_space_group_name_Hall '-P 4 2ab'
loop_
_atom_site_label
_atom_site_fract_x
_atom_site_fract_y
_atom_site_fract_z
Hf1 0.000 0.000 0.000
Co1 0.147 0.353 0.500
Ge1 0.146 0.646 0.000

=====

# BeFeW2 GGA-PBE relaxed
# energy relative to the elements: 18.82 kJ per mole of atoms
# theoretical density: 13589 kg/m3
# total magnetization: 3.5 Bohr magnetons per cell
data_BeFeW2
_cell_length_a 3.099
_cell_length_b 4.220
_cell_length_c 8.083
_cell_angle_alpha 90.00
_cell_angle_beta 90.00
_cell_angle_gamma 90.00
_symmetry_space_group_name_H-M 'I m m 2'
_symmetry_Int_Tables_number 44
loop_
_symmetry_equiv_pos_as_xyz
'x,y,z'
'-x,-y,z'
'-x,y,z'
'x,-y,z'
'x+1/2,y+1/2,z+1/2'
'-x+1/2,-y+1/2,z+1/2'
'-x+1/2,y+1/2,z+1/2'
'x+1/2,-y+1/2,z+1/2'
loop_
_atom_site_label
_atom_site_fract_x
_atom_site_fract_y
_atom_site_fract_z
Be1 0.000 0.000 0.000
Fe1 0.000 0.500 0.277
W1 0.000 0.000 0.529
W2 0.000 0.500 0.764

=====

Q: Look up the total magnetization of the second one.
A: 9.2 Bohr magnetons per cell

=====

Q: Among the records above, which one has the lowest theoretical density?
A: YBe2Al2

=====

Q: Among the records above, which one has the highest theoretical density?
A: BeFeW2

=====

What did the ninth record say?
# Rb2USb2Se6 GGA-PBE relaxed
# energy relative to the elements, uncorrected: -837 meV/atom
# theoretical density: 4940 kg/m3
# total magnetization: 4.0 Bohr magnetons per cell
data_Rb2USb2Se6
_cell_length_a 7.317
_cell_length_b 12.663
_cell_length_c 8.556
_cell_angle_alpha 90.00
_cell_angle_beta 107.24
_cell_angle_gamma 90.00
_symmetry_space_group_name_H-M 'C 1 2/m 1'
_symmetry_Int_Tables_number 12
loop_
_symmetry_equiv_pos_as_xyz
'x,y,z'
'-x,-y,-z'
'-x,y,-z'
'x,-y,z'
'x+1/2,y+1/2,z'
'-x+1/2,-y+1/2,-z'
'-x+1/2,y+1/2,-z'
'x+1/2,-y+1/2,z'
loop_
_atom_site_label
_atom_site_fract_x
_atom_site_fract_y
_atom_site_fract_z
Rb1 0.000 0.169 0.000
U1 0.000 0.000 0.500
Sb1 0.000 0.331 0.500
Se1 0.230 0.165 0.691
Se2 0.241 0.500 0.690